VASP calculation (PBE) on a relaxed CaFe4Rh crystal.

Structure (POSCAR):
```
CaFe4Rh
1.0
0.000 3.521 3.521
3.521 0.000 3.521
3.521 3.521 0.000
Ca Fe Rh
1 4 1
Direct
0.000 0.000 0.000
0.375 0.375 0.375
0.375 0.375 0.875
0.375 0.875 0.375
0.875 0.375 0.375
0.750 0.750 0.750
```

## Properties
The density of states at the Fermi level comes out at 4.11 states/eV/cell. The calculated formation energy comes out at 137.5 meV/atom. Its space group is F-43m, No. 216. The volume comes out at 14.55 Å³/atom.

---

VASP calculation (PBE) on a relaxed AlGaBr2 crystal.

Structure (POSCAR):
```
AlGaBr2
1.0
0.000 3.806 3.806
3.806 0.000 3.806
3.806 3.806 0.000
Al Ga Br
1 1 2
Direct
0.000 0.000 0.000
0.500 0.500 0.500
0.250 0.250 0.250
0.750 0.750 0.750
```

## Properties
The density of states at the Fermi level comes out at 0.00 states/eV/cell. Its space group is Fm-3m, No. 225. The volume comes out at 27.57 Å³/atom. As for the distance to the lowest polymorph of the same formula: 0 meV/atom.